Record 1
The following is a DFT calculation (PBE) of crystalline InFeSeN2 at its relaxed geometry.

Distance to the lowest polymorph of the same formula, eV per formula unit: 0.00
Uncorrected formation energy, kJ/mol of atoms: 68.6
Magnetic moment, Bohr magnetons per cell: 0.00
Calculated volume, Å³/cell: 74
DFT total energy, eV/atom: -5.56

a b c (Å): 3.7437 3.7437 5.2667
angles (deg): 90.00 90.00 90.00
Closest atoms and distances in Å follow each position.
Fractional positions:
N 0.0000 0.5000 0.0000  2 Fe 1.87
N 0.5000 0.0000 0.0000  2 Fe 1.87
Fe 0.0000 0.0000 0.0000  4 N 1.87
Se 0.0000 0.0000 0.5000  2 Fe 2.63, 4 In 2.65
In 0.5000 0.5000 0.5000  4 Se 2.65


Record 2
The following is a DFT calculation (PBE) of crystalline InFeSe2N at its relaxed geometry.

Distance to the lowest polymorph of the same formula, eV per formula unit: 5.30
Uncorrected formation energy, kJ/mol of atoms: 115.2
Magnetic moment, Bohr magnetons per cell: 6.02
Calculated volume, Å³/cell: 118
DFT total energy, eV/atom: -4.11

a b c (Å): 5.3683 5.3683 4.0840
angles (deg): 90.00 90.00 90.00
Closest atoms and distances in Å follow each position.
Fractional positions:
N 0.0000 0.0000 0.5000  2 In 2.04
Fe 0.5000 0.5000 0.5000  8 Se 3.37
Se 0.0000 0.5000 0.0000  2 In 2.68
Se 0.5000 0.0000 0.0000  2 In 2.68
In 0.0000 0.0000 0.0000  2 N 2.04


Record 3
The following is a DFT calculation (PBE) of crystalline InFeTc2N at its relaxed geometry.

Uncorrected formation energy, kJ/mol of atoms: 4.6
Magnetic moment, Bohr magnetons per cell: 1.82
Calculated volume, Å³/cell: 66
DFT total energy, eV/atom: -8.00

a b c (Å): 4.1371 3.8850 4.1371
angles (deg): 90.00 90.00 90.00
Closest atoms and distances in Å follow each position.
Fractional positions:
Fe 0.0000 0.5000 0.0000  2 N 1.94
N 0.0000 0.0000 0.0000  2 Fe 1.94, 4 Tc 2.07
Tc 0.0000 0.0000 0.5000  2 N 2.07
Tc 0.5000 0.0000 0.0000  2 N 2.07
In 0.5000 0.5000 0.5000  8 Tc 2.84, 4 Fe 2.93


Record 4
The following is a DFT calculation (PBE) of crystalline InFeTe2N at its relaxed geometry.

Distance to the lowest polymorph of the same formula, eV per formula unit: 5.59
Uncorrected formation energy, kJ/mol of atoms: 123.1
Magnetic moment, Bohr magnetons per cell: 5.46
Calculated volume, Å³/cell: 136
DFT total energy, eV/atom: -3.89

a b c (Å): 5.8123 5.8123 4.0120
angles (deg): 90.00 90.00 90.00
Closest atoms and distances in Å follow each position.
Fractional positions:
N 0.0000 0.0000 0.5000  2 In 2.01
Te 0.0000 0.5000 0.0000  2 In 2.91
Te 0.5000 0.0000 0.0000  2 In 2.91
Fe 0.5000 0.5000 0.5000  8 Te 3.53
In 0.0000 0.0000 0.0000  2 N 2.01


Record 5
The following is a DFT calculation (PBE) of crystalline InFeTe2N at its relaxed geometry.

Distance to the lowest polymorph of the same formula, eV per formula unit: 0.00
Uncorrected formation energy, kJ/mol of atoms: 15.2
Magnetic moment, Bohr magnetons per cell: 0.00
Calculated volume, Å³/cell: 103
DFT total energy, eV/atom: -5.00

a b c (Å): 5.4756 5.4756 3.4260
angles (deg): 90.00 90.00 90.00
Closest atoms and distances in Å follow each position.
Fractional positions:
N 0.0000 0.0000 0.5000  2 Fe 1.71
Te 0.0000 0.5000 0.0000  2 Fe 2.74
Te 0.5000 0.0000 0.0000  2 Fe 2.74
Fe 0.0000 0.0000 0.0000  2 N 1.71
In 0.5000 0.5000 0.5000  8 Te 3.23, 2 In 3.43


Record 6
The following is a DFT calculation (PBE) of crystalline InFeTeN2 at its relaxed geometry.

Uncorrected formation energy, kJ/mol of atoms: 92.6
Magnetic moment, Bohr magnetons per cell: 0.08
Calculated volume, Å³/cell: 81
DFT total energy, eV/atom: -5.24

a b c (Å): 3.8806 3.8806 5.3828
angles (deg): 90.00 90.00 90.00
Closest atoms and distances in Å follow each position.
Fractional positions:
N 0.0000 0.5000 0.0000  2 Fe 1.94
N 0.5000 0.0000 0.0000  2 Fe 1.94
Te 0.0000 0.0000 0.5000  2 Fe 2.69, 4 In 2.74
Fe 0.0000 0.0000 0.0000  4 N 1.94
In 0.5000 0.5000 0.5000  4 Te 2.74


Which value of calculated volume does entry 3 give? 66 Å³/cell


Copy entry 1 word for word.
The following is a DFT calculation (PBE) of crystalline InFeSeN2 at its relaxed geometry.

Distance to the lowest polymorph of the same formula, eV per formula unit: 0.00
Uncorrected formation energy, kJ/mol of atoms: 68.6
Magnetic moment, Bohr magnetons per cell: 0.00
Calculated volume, Å³/cell: 74
DFT total energy, eV/atom: -5.56

a b c (Å): 3.7437 3.7437 5.2667
angles (deg): 90.00 90.00 90.00
Closest atoms and distances in Å follow each position.
Fractional positions:
N 0.0000 0.5000 0.0000  2 Fe 1.87
N 0.5000 0.0000 0.0000  2 Fe 1.87
Fe 0.0000 0.0000 0.0000  4 N 1.87
Se 0.0000 0.0000 0.5000  2 Fe 2.63, 4 In 2.65
In 0.5000 0.5000 0.5000  4 Se 2.65